# 1
VASP calculation (PBE-GGA) on crystalline Nd3Te2O at its relaxed geometry.

abc: 8.4014 8.4014 6.2574
angles: 90.00 90.00 61.74
Closest atoms and distances in Å follow each position.
Positions (direct):
Nd  0.0961  0.9039  0.5000  1 O 2.30
Nd  0.1271  0.5853  0.9675  1 O 2.32
Nd  0.4147  0.8729  0.9675  1 O 2.32
Nd  0.5853  0.1271  0.4675  1 O 2.32
Nd  0.8729  0.4147  0.4675  1 O 2.32
Nd  0.9039  0.0961  0.0000  1 O 2.30
Te  0.2067  0.4890  0.4705  5 Nd 3.15-3.24
Te  0.4890  0.2067  0.9705  5 Nd 3.15-3.24
Te  0.5110  0.7933  0.4705  5 Nd 3.15-3.24
Te  0.7933  0.5110  0.9705  5 Nd 3.15-3.24
O  0.1605  0.8395  0.9019  3 Nd 2.30-2.32
O  0.8395  0.1605  0.4019  3 Nd 2.30-2.32

Calculated values
As for the space group: Cmc2_1, No. 36. The calculation puts the volume at 32.42 Å³ per atom. As for the energy: -5.88 eV per atom. The calculation puts the density at 6.01 g/cm³.



# 2
VASP calculation (PBE-GGA) on crystalline NdTeO4 at its relaxed geometry.

abc: 5.5786 5.4665 5.6615
angles: 90.00 98.71 90.00
Closest atoms and distances in Å follow each position.
Positions (direct):
Nd  0.0000  0.0000  0.0000  4 O 2.30-2.39
Nd  0.0000  0.5000  0.5000  4 O 2.30-2.39
Te  0.5000  0.0000  0.5000  6 O 1.99-2.16
Te  0.5000  0.5000  0.0000  6 O 1.99-2.16
O  0.1841  0.1561  0.3779  1 Te 1.99
O  0.1841  0.3439  0.8779  1 Te 1.99
O  0.3488  0.7118  0.2617  2 Te 2.15-2.16
O  0.3488  0.7882  0.7617  2 Te 2.15-2.16
O  0.6512  0.2118  0.2383  2 Te 2.15-2.16
O  0.6512  0.2882  0.7383  2 Te 2.15-2.16
O  0.8159  0.6561  0.1221  1 Te 1.99
O  0.8159  0.8439  0.6221  1 Te 1.99

Calculated values
The calculation puts the excess energy over the best structure of this formula in the dataset at 0 meV per atom. As for the space group: P2_1/c, No. 14. The calculation puts the volume at 14.22 Å³ per atom. As for the energy: -6.56 eV per atom. The calculation puts the density at 6.54 g/cm³.



# 3
VASP calculation (PBE-GGA) on crystalline Nd6TeO12 at its relaxed geometry.

abc: 6.7491 6.7491 6.7491
angles: 98.58 98.58 98.58
Closest atoms and distances in Å follow each position.
Positions (direct):
Nd  0.1096  0.6450  0.8104  6 O 2.31-2.58
Nd  0.1896  0.8904  0.3550  6 O 2.31-2.58
Nd  0.3550  0.1896  0.8904  6 O 2.31-2.58
Nd  0.6450  0.8104  0.1096  6 O 2.31-2.58
Nd  0.8104  0.1096  0.6450  6 O 2.31-2.58
Nd  0.8904  0.3550  0.1896  6 O 2.31-2.58
Te  0.5000  0.5000  0.5000  6 O 1.99
O  0.0606  0.3226  0.9059  4 Nd 2.31-2.38
O  0.0941  0.9394  0.6774  4 Nd 2.31-2.38
O  0.2107  0.5311  0.4327  1 Te 1.99
O  0.3226  0.9059  0.0606  4 Nd 2.31-2.38
O  0.4327  0.2107  0.5311  1 Te 1.99
O  0.4689  0.5673  0.7893  1 Te 1.99
O  0.5311  0.4327  0.2107  1 Te 1.99
O  0.5673  0.7893  0.4689  1 Te 1.99
O  0.6774  0.0941  0.9394  4 Nd 2.31-2.38
O  0.7893  0.4689  0.5673  1 Te 1.99
O  0.9059  0.0606  0.3226  4 Nd 2.31-2.38
O  0.9394  0.6774  0.0941  4 Nd 2.31-2.38

Calculated values
As for the space group: R-3, No. 148. The calculation puts the volume at 15.57 Å³ per atom. As for the energy: -7.77 eV per atom. The calculation puts the density at 6.65 g/cm³.



# 4
VASP calculation (PBE-GGA) on crystalline NdTeO6 at its relaxed geometry.

abc: 4.4091 4.4091 5.2619
angles: 96.27 96.27 95.14
Closest atoms and distances in Å follow each position.
Positions (direct):
Nd  0.0000  0.0000  0.0000  10 O 2.38-2.62
Te  0.5000  0.5000  0.5000  6 O 1.95-1.99
O  0.1572  0.5388  0.2432  1 Te 1.95, 1 O 2.13
O  0.2203  0.2203  0.6613  1 Te 1.99, 2 O 2.13
O  0.4612  0.8428  0.7568  1 Te 1.95, 1 O 2.13
O  0.5388  0.1572  0.2432  1 Te 1.95, 1 O 2.13
O  0.7797  0.7797  0.3387  1 Te 1.99, 2 O 2.13
O  0.8428  0.4612  0.7568  1 Te 1.95, 1 O 2.13

Calculated values
As for the space group: C2/m, No. 12. The calculation puts the volume at 12.57 Å³ per atom. As for the energy: -5.93 eV per atom. The calculation puts the density at 6.08 g/cm³.



# 5
VASP calculation (PBE-GGA) on crystalline Nd3Te2O2 at its relaxed geometry.

abc: 6.1730 6.1730 8.4274
angles: 118.21 118.21 35.32
Closest atoms and distances in Å follow each position.
Positions (direct):
Nd  0.0000  0.0000  0.0000  4 O 2.52
Nd  0.3333  0.3333  0.2364  1 O 2.39
Nd  0.6667  0.6667  0.7636  1 O 2.39
Te  0.0994  0.0994  0.4053  5 Nd 3.01-3.30
Te  0.9006  0.9006  0.5947  5 Nd 3.01-3.30
O  0.3446  0.3446  0.9609  3 Nd 2.39-2.52
O  0.6554  0.6554  0.0391  3 Nd 2.39-2.52

Calculated values
As for the space group: C2/m, No. 12. The calculation puts the volume at 23.03 Å³ per atom. As for the energy: -6.50 eV per atom. The calculation puts the density at 7.42 g/cm³.



# 6
VASP calculation (PBE-GGA) on crystalline NdTeO4 at its relaxed geometry.

abc: 5.4487 5.4487 5.4487
angles: 95.55 95.55 143.76
Closest atoms and distances in Å follow each position.
Positions (direct):
Nd  0.0000  0.0000  0.0000  8 O 2.45-2.62
Te  0.7500  0.2500  0.5000  4 O 1.95
O  0.2082  0.4319  0.7144  1 Te 1.95
O  0.5062  0.7918  0.2237  1 Te 1.95
O  0.5681  0.2825  0.7763  1 Te 1.95
O  0.7175  0.4938  0.2856  1 Te 1.95

Calculated values
The calculation puts the excess energy over the best structure of this formula in the dataset at 296 meV per atom. As for the space group: I-4, No. 82. The calculation puts the volume at 15.15 Å³ per atom. As for the energy: -6.26 eV per atom. The calculation puts the density at 6.14 g/cm³.



# 7
VASP calculation (PBE-GGA) on crystalline NdTiTeO6 at its relaxed geometry.

abc: 5.3270 5.3270 10.1706
angles: 90.00 90.00 120.00
Closest atoms and distances in Å follow each position.
Positions (direct):
Nd  0.0000  0.0000  0.0000  6 O 2.43
Nd  0.0000  0.0000  0.5000  6 O 2.43
Ti  0.3333  0.6667  0.2500  6 O 2.00
Ti  0.6667  0.3333  0.7500  6 O 2.00
Te  0.3333  0.6667  0.7500  6 O 2.05
Te  0.6667  0.3333  0.2500  6 O 2.05
O  0.0068  0.3703  0.1415  1 Ti 2.00, 1 Te 2.05
O  0.0068  0.6365  0.3585  1 Ti 2.00, 1 Te 2.05
O  0.3635  0.3703  0.3585  1 Ti 2.00, 1 Te 2.05
O  0.3635  0.9932  0.1415  1 Ti 2.00, 1 Te 2.05
O  0.3703  0.0068  0.6415  1 Ti 2.00, 1 Te 2.05
O  0.3703  0.3635  0.8585  1 Ti 2.00, 1 Te 2.05
O  0.6297  0.6365  0.1415  1 Ti 2.00, 1 Te 2.05
O  0.6297  0.9932  0.3585  1 Ti 2.00, 1 Te 2.05
O  0.6365  0.0068  0.8585  1 Ti 2.00, 1 Te 2.05
O  0.6365  0.6297  0.6415  1 Ti 2.00, 1 Te 2.05
O  0.9932  0.3635  0.6415  1 Ti 2.00, 1 Te 2.05
O  0.9932  0.6297  0.8585  1 Ti 2.00, 1 Te 2.05

Calculated values
As for the space group: P-31c, No. 163. The calculation puts the volume at 13.89 Å³ per atom. As for the energy: -7.39 eV per atom. The calculation puts the density at 5.52 g/cm³.



# 8
VASP calculation (PBE-GGA) on crystalline Nd2TlTeO8 at its relaxed geometry.

abc: 4.8748 4.8983 7.5826
angles: 91.81 91.77 94.30
Closest atoms and distances in Å follow each position.
Positions (direct):
Nd  0.0533  0.0519  0.2578  6 O 2.37-2.45
Nd  0.9467  0.9481  0.7422  6 O 2.37-2.45
Tl  0.5000  0.5000  0.0000  2 O 2.01
Te  0.5000  0.5000  0.5000  6 O 1.93-1.97
O  0.1978  0.1980  0.9784  1 Tl 2.01
O  0.2150  0.2177  0.5440  1 Te 1.93
O  0.2620  0.6211  0.3083  1 Te 1.97
O  0.3794  0.7394  0.6908  1 Te 1.97
O  0.6206  0.2606  0.3092  1 Te 1.97
O  0.7380  0.3789  0.6917  1 Te 1.97
O  0.7850  0.7823  0.4560  1 Te 1.93
O  0.8022  0.8020  0.0216  1 Tl 2.01

Calculated values
As for the space group: P-1, No. 2. The calculation puts the volume at 15.03 Å³ per atom. As for the energy: -6.39 eV per atom. The calculation puts the density at 6.89 g/cm³.



# 9
VASP calculation (PBE-GGA) on crystalline NdTlTe2O8 at its relaxed geometry.

abc: 6.1171 6.1171 7.9561
angles: 90.00 90.00 120.00
Closest atoms and distances in Å follow each position.
Positions (direct):
Nd  0.0000  0.0000  0.0000  6 O 2.34
Tl  0.0000  0.0000  0.5000  6 O 3.08
Te  0.3333  0.6667  0.2714  4 O 1.82-1.85
Te  0.6667  0.3333  0.7286  4 O 1.82-1.85
O  0.1643  0.3421  0.1866  1 Te 1.85
O  0.1778  0.8357  0.1866  1 Te 1.85
O  0.3333  0.6667  0.4999  1 Te 1.82
O  0.3421  0.1778  0.8134  1 Te 1.85
O  0.6579  0.8222  0.1866  1 Te 1.85
O  0.6667  0.3333  0.5001  1 Te 1.82
O  0.8222  0.1643  0.8134  1 Te 1.85
O  0.8357  0.6579  0.8134  1 Te 1.85

Calculated values
As for the space group: P-3, No. 147. The calculation puts the volume at 21.49 Å³ per atom. As for the energy: -5.80 eV per atom. The calculation puts the density at 4.71 g/cm³.



# 10
VASP calculation (PBE-GGA) on crystalline NdTl2TeO8 at its relaxed geometry.

abc: 4.8512 7.0721 5.0753
angles: 90.00 91.08 90.00
Closest atoms and distances in Å follow each position.
Positions (direct):
Nd  0.0000  0.0000  0.0000  6 O 2.39-2.42
Tl  0.5000  0.2604  0.5000  6 O 2.27-2.30
Tl  0.5000  0.7396  0.5000  6 O 2.27-2.30
Te  0.0000  0.5000  0.0000  6 O 1.96-1.98
O  0.1467  0.2906  0.7929  1 Te 1.96
O  0.1467  0.7094  0.7929  1 Te 1.96
O  0.3217  0.5000  0.2447  1 Te 1.98
O  0.4238  0.0000  0.2480  2 Tl 2.27, 1 Nd 2.39
O  0.5762  0.0000  0.7520  2 Tl 2.27, 1 Nd 2.39
O  0.6783  0.5000  0.7553  1 Te 1.98
O  0.8533  0.2906  0.2071  1 Te 1.96
O  0.8533  0.7094  0.2071  1 Te 1.96

Calculated values
As for the space group: P2/m, No. 10. The calculation puts the volume at 14.51 Å³ per atom. As for the energy: -5.55 eV per atom. The calculation puts the density at 7.71 g/cm³.



# 11
VASP calculation (PBE-GGA) on crystalline NdTl2Te2O6 at its relaxed geometry.

abc: 6.1876 6.1876 6.8148
angles: 108.11 108.11 69.93
Closest atoms and distances in Å follow each position.
Positions (direct):
Nd  0.0000  0.0000  0.0000  6 O 2.37-2.40
Tl  0.1846  0.1846  0.6181  2 O 2.56
Tl  0.8154  0.8154  0.3819  2 O 2.56
Te  0.4448  0.4448  0.2587  3 O 1.88-2.03
Te  0.5552  0.5552  0.7413  3 O 1.88-2.03
O  0.1736  0.7412  0.2347  1 Te 2.03
O  0.2498  0.2498  0.2148  1 Te 1.88
O  0.2588  0.8264  0.7653  1 Te 2.03
O  0.7412  0.1736  0.2347  1 Te 2.03
O  0.7502  0.7502  0.7852  1 Te 1.88
O  0.8264  0.2588  0.7653  1 Te 2.03

Calculated values
As for the space group: C2/m, No. 12. The calculation puts the volume at 20.62 Å³ per atom. As for the energy: -5.45 eV per atom. The calculation puts the density at 6.62 g/cm³.



# 12
VASP calculation (PBE-GGA) on crystalline NdTmTeO6 at its relaxed geometry.

abc: 5.5400 5.5400 9.9298
angles: 90.00 90.00 120.00
Closest atoms and distances in Å follow each position.
Positions (direct):
Nd  0.0000  0.0000  0.0000  6 O 2.43
Nd  0.0000  0.0000  0.5000  6 O 2.43
Tm  0.3333  0.6667  0.2500  6 O 2.23
Tm  0.6667  0.3333  0.7500  6 O 2.23
Te  0.3333  0.6667  0.7500  6 O 1.96
Te  0.6667  0.3333  0.2500  6 O 1.96
O  0.0375  0.3774  0.6393  1 Te 1.96
O  0.0375  0.6601  0.8607  1 Te 1.96
O  0.3399  0.3774  0.8607  1 Te 1.96
O  0.3399  0.9625  0.6393  1 Te 1.96
O  0.3774  0.0375  0.1393  1 Te 1.96
O  0.3774  0.3399  0.3607  1 Te 1.96
O  0.6226  0.6601  0.6393  1 Te 1.96
O  0.6226  0.9625  0.8607  1 Te 1.96
O  0.6601  0.0375  0.3607  1 Te 1.96
O  0.6601  0.6226  0.1393  1 Te 1.96
O  0.9625  0.3399  0.1393  1 Te 1.96
O  0.9625  0.6226  0.3607  1 Te 1.96

Calculated values
As for the space group: P-31c, No. 163. The calculation puts the volume at 14.66 Å³ per atom. As for the energy: -7.15 eV per atom. The calculation puts the density at 6.75 g/cm³.